! Ta2MoOs PBE-GGA optimized geometry; values from VASP
&SYSTEM
  ibrav = 0, nat = 4, ntyp = 3
/
ATOMIC_SPECIES
Mo 95.94 Mo.upf
Ta 180.95 Ta.upf
Os 190.23 Os.upf
CELL_PARAMETERS angstrom
2.823 0.001 0.000
-1.009 2.637 0.000
0.000 0.000 8.885
ATOMIC_POSITIONS crystal
Mo 0.500 0.500 0.250
Ta 0.000 0.000 0.997
Ta 0.000 0.000 0.503
Os 0.500 0.500 0.750
! Space-group type ... Cmmm (65)
! ΔH_f (0 K) ... -0.09 eV per atom
! DFT total energy ... -46.14 eV for the cell shown


! Ta3Mo2Os PBE-GGA optimized geometry; values from VASP
&SYSTEM
  ibrav = 0, nat = 6, ntyp = 3
/
ATOMIC_SPECIES
Ta 180.95 Ta.upf
Mo 95.94 Mo.upf
Os 190.23 Os.upf
CELL_PARAMETERS angstrom
3.211 0.000 0.000
0.000 3.211 0.000
0.000 0.000 9.685
ATOMIC_POSITIONS crystal
Ta 0.000 0.000 0.000
Ta 0.000 0.000 0.668
Ta 0.000 0.000 0.332
Mo 0.500 0.500 0.831
Os 0.500 0.500 0.500
Mo 0.500 0.500 0.169
! Space-group type ... P4/mmm (123)
! ΔH_f (0 K) ... -0.29 eV per atom
! DFT total energy ... -70.20 eV for the cell shown


! Ta2MoOs PBE-GGA optimized geometry; values from VASP
&SYSTEM
  ibrav = 0, nat = 8, ntyp = 3
/
ATOMIC_SPECIES
Ta 180.95 Ta.upf
Os 190.23 Os.upf
Mo 95.94 Mo.upf
CELL_PARAMETERS angstrom
-5.504 2.677 3.846
0.711 -5.386 4.767
-0.635 0.170 5.766
ATOMIC_POSITIONS crystal
Ta 0.637 0.125 0.250
Os 0.750 0.250 0.500
Ta 0.375 0.363 0.750
Ta 0.875 0.887 0.750
Os 0.000 0.000 0.000
Mo 0.250 0.750 0.500
Ta 0.113 0.625 0.250
Mo 0.500 0.500 0.000
! Space-group type ... I-42d (122)
! ΔH_f (0 K) ... 0.58 eV per atom
! DFT total energy ... -86.86 eV for the cell shown


! TaMo2Os PBE-GGA optimized geometry; values from VASP
&SYSTEM
  ibrav = 0, nat = 4, ntyp = 3
/
ATOMIC_SPECIES
Mo 95.94 Mo.upf
Ta 180.95 Ta.upf
Os 190.23 Os.upf
CELL_PARAMETERS angstrom
5.240 -0.010 0.000
2.482 4.614 0.000
-3.861 -2.302 2.692
ATOMIC_POSITIONS crystal
Mo 0.000 0.000 0.000
Ta 0.750 0.250 0.500
Mo 0.500 0.500 0.000
Os 0.250 0.750 0.500
! Space-group type ... I4/mmm (139)
! ΔH_f (0 K) ... 0.11 eV per atom
! DFT total energy ... -44.32 eV for the cell shown


! TaMo2Os PBE-GGA optimized geometry; values from VASP
&SYSTEM
  ibrav = 0, nat = 4, ntyp = 3
/
ATOMIC_SPECIES
Os 190.23 Os.upf
Ta 180.95 Ta.upf
Mo 95.94 Mo.upf
CELL_PARAMETERS angstrom
4.489 0.000 0.000
2.245 3.888 0.000
2.245 1.296 3.665
ATOMIC_POSITIONS crystal
Os 0.500 0.500 0.500
Ta 0.750 0.750 0.750
Mo 0.000 0.000 0.000
Mo 0.250 0.250 0.250
! Space-group type ... F-43m (216)
! ΔH_f (0 K) ... -0.10 eV per atom
! DFT total energy ... -45.15 eV for the cell shown


! TaMo2Os PBE-GGA optimized geometry; values from VASP
&SYSTEM
  ibrav = 0, nat = 4, ntyp = 3
/
ATOMIC_SPECIES
Mo 95.94 Mo.upf
Os 190.23 Os.upf
Ta 180.95 Ta.upf
CELL_PARAMETERS angstrom
-1.487 2.762 0.405
-2.504 -1.817 3.199
3.092 1.209 3.107
ATOMIC_POSITIONS crystal
Mo 0.500 0.500 0.000
Os 0.500 0.000 0.500
Mo 0.000 0.000 0.000
Ta 0.000 0.500 0.500
! Space-group type ... Pmmm (47)
! ΔH_f (0 K) ... -0.10 eV per atom
! DFT total energy ... -45.16 eV for the cell shown


! Ta2MoOs PBE-GGA optimized geometry; values from VASP
&SYSTEM
  ibrav = 0, nat = 4, ntyp = 3
/
ATOMIC_SPECIES
Ta 180.95 Ta.upf
Mo 95.94 Mo.upf
Os 190.23 Os.upf
CELL_PARAMETERS angstrom
9.809 0.021 0.012
9.394 2.823 0.012
9.394 1.391 2.457
ATOMIC_POSITIONS crystal
Ta 0.005 0.005 0.005
Ta 0.248 0.248 0.248
Mo 0.494 0.494 0.494
Os 0.753 0.753 0.753
! Space-group type ... R3m (160)
! ΔH_f (0 K) ... 0.19 eV per atom
! DFT total energy ... -45.00 eV for the cell shown


! Ta4MoOs PBE-GGA optimized geometry; values from VASP
&SYSTEM
  ibrav = 0, nat = 6, ntyp = 3
/
ATOMIC_SPECIES
Os 190.23 Os.upf
Mo 95.94 Mo.upf
Ta 180.95 Ta.upf
CELL_PARAMETERS angstrom
4.389 0.000 -0.001
0.000 4.390 -0.002
0.003 0.005 6.276
ATOMIC_POSITIONS crystal
Os 0.501 0.497 0.998
Mo 0.001 0.997 0.498
Ta 0.001 0.497 0.749
Ta 0.501 0.998 0.749
Ta 0.501 0.997 0.247
Ta 0.001 0.497 0.247
! Space-group type ... P4/mmm (123)
! ΔH_f (0 K) ... 0.35 eV per atom
! DFT total energy ... -67.34 eV for the cell shown


! Ta3Mo2Os PBE-GGA optimized geometry; values from VASP
&SYSTEM
  ibrav = 0, nat = 6, ntyp = 3
/
ATOMIC_SPECIES
Mo 95.94 Mo.upf
Ta 180.95 Ta.upf
Os 190.23 Os.upf
CELL_PARAMETERS angstrom
3.201 0.000 0.000
0.000 4.325 -1.432
0.000 -0.017 7.198
ATOMIC_POSITIONS crystal
Mo 0.000 0.335 0.670
Ta 0.500 0.500 0.000
Ta 0.500 0.833 0.666
Ta 0.500 0.167 0.334
Mo 0.000 0.665 0.330
Os 0.000 0.000 0.000
! Space-group type ... Cmmm (65)
! ΔH_f (0 K) ... -0.33 eV per atom
! DFT total energy ... -70.40 eV for the cell shown


! TaMo2Os PBE-GGA optimized geometry; values from VASP
&SYSTEM
  ibrav = 0, nat = 4, ntyp = 3
/
ATOMIC_SPECIES
Os 190.23 Os.upf
Ta 180.95 Ta.upf
Mo 95.94 Mo.upf
CELL_PARAMETERS angstrom
-3.819 8.838 1.458
-5.390 8.078 -0.725
-6.137 7.328 1.862
ATOMIC_POSITIONS crystal
Os 0.250 0.250 0.250
Ta 0.750 0.750 0.750
Mo 0.505 0.505 0.505
Mo 0.995 0.995 0.995
! Space-group type ... R-3m (166)
! ΔH_f (0 K) ... 0.23 eV per atom
! DFT total energy ... -43.84 eV for the cell shown


! Ta2MoOs PBE-GGA optimized geometry; values from VASP
&SYSTEM
  ibrav = 0, nat = 4, ntyp = 3
/
ATOMIC_SPECIES
Mo 95.94 Mo.upf
Os 190.23 Os.upf
Ta 180.95 Ta.upf
CELL_PARAMETERS angstrom
-3.284 0.254 4.234
1.787 -1.483 4.835
1.558 3.142 -4.058
ATOMIC_POSITIONS crystal
Mo 0.500 0.500 0.000
Os 0.750 0.250 0.500
Ta 0.250 0.750 0.500
Ta 0.000 0.000 0.000
! Space-group type ... I-4m2 (119)
! ΔH_f (0 K) ... -0.01 eV per atom
! DFT total energy ... -45.80 eV for the cell shown


! Ta4MoOs3 PBE-GGA optimized geometry; values from VASP
&SYSTEM
  ibrav = 0, nat = 8, ntyp = 3
/
ATOMIC_SPECIES
Os 190.23 Os.upf
Mo 95.94 Mo.upf
Ta 180.95 Ta.upf
CELL_PARAMETERS angstrom
3.294 0.000 0.000
0.000 4.454 0.000
0.000 0.000 8.912
ATOMIC_POSITIONS crystal
Os 0.500 0.500 0.500
Mo 0.500 0.500 0.000
Ta 0.000 0.000 0.500
Ta 0.000 0.500 0.752
Os 0.500 0.000 0.255
Os 0.500 0.000 0.745
Ta 0.000 0.500 0.248
Ta 0.000 0.000 0.000
! Space-group type ... Pmmm (47)
! ΔH_f (0 K) ... -0.31 eV per atom
! DFT total energy ... -94.43 eV for the cell shown


! TaMo2Os PBE-GGA optimized geometry; values from VASP
&SYSTEM
  ibrav = 0, nat = 4, ntyp = 3
/
ATOMIC_SPECIES
Mo 95.94 Mo.upf
Ta 180.95 Ta.upf
Os 190.23 Os.upf
CELL_PARAMETERS angstrom
2.761 0.020 0.000
-0.937 2.597 0.000
0.000 0.000 8.943
ATOMIC_POSITIONS crystal
Mo 0.000 0.000 0.008
Mo 0.000 0.000 0.492
Ta 0.500 0.500 0.750
Os 0.500 0.500 0.250
! Space-group type ... Cmmm (65)
! ΔH_f (0 K) ... 0.11 eV per atom
! DFT total energy ... -44.30 eV for the cell shown


! Ta2MoOs PBE-GGA optimized geometry; values from VASP
&SYSTEM
  ibrav = 0, nat = 4, ntyp = 3
/
ATOMIC_SPECIES
Ta 180.95 Ta.upf
Os 190.23 Os.upf
Mo 95.94 Mo.upf
CELL_PARAMETERS angstrom
-0.615 2.719 0.333
-0.611 -0.828 -2.612
-8.309 -2.203 2.642
ATOMIC_POSITIONS crystal
Ta 0.500 0.500 0.255
Ta 0.000 0.000 0.989
Os 0.500 0.500 0.748
Mo 0.000 0.000 0.508
! Space-group type ... Cmm2 (35)
! ΔH_f (0 K) ... 0.02 eV per atom
! DFT total energy ... -45.70 eV for the cell shown


! TaMo2Os2 PBE-GGA optimized geometry; values from VASP
&SYSTEM
  ibrav = 0, nat = 10, ntyp = 3
/
ATOMIC_SPECIES
Mo 95.94 Mo.upf
Os 190.23 Os.upf
Ta 180.95 Ta.upf
CELL_PARAMETERS angstrom
-5.707 1.572 -4.585
-4.801 -2.811 5.011
-0.259 2.617 1.220
ATOMIC_POSITIONS crystal
Mo 0.833 0.333 0.500
Os 0.869 0.631 0.000
Os 0.631 0.131 0.000
Mo 0.333 0.167 0.500
Os 0.369 0.869 0.000
Ta 0.500 0.500 0.000
Ta 0.000 0.000 0.000
Mo 0.667 0.833 0.500
Mo 0.167 0.667 0.500
Os 0.131 0.369 0.000
! Space-group type ... P4/mbm (127)
! ΔH_f (0 K) ... 0.13 eV per atom
! DFT total energy ... -110.69 eV for the cell shown


! Ta2MoOs PBE-GGA optimized geometry; values from VASP
&SYSTEM
  ibrav = 0, nat = 4, ntyp = 3
/
ATOMIC_SPECIES
Ta 180.95 Ta.upf
Mo 95.94 Mo.upf
Os 190.23 Os.upf
CELL_PARAMETERS angstrom
-2.560 -1.234 -1.471
1.913 -1.844 -1.783
-0.324 -4.670 4.480
ATOMIC_POSITIONS crystal
Ta 0.000 0.000 0.992
Ta 0.500 0.500 0.258
Mo 0.000 0.000 0.499
Os 0.500 0.500 0.751
! Space-group type ... P4mm (99)
! ΔH_f (0 K) ... -0.12 eV per atom
! DFT total energy ... -46.23 eV for the cell shown


! TaMo2Os PBE-GGA optimized geometry; values from VASP
&SYSTEM
  ibrav = 0, nat = 4, ntyp = 3
/
ATOMIC_SPECIES
Mo 95.94 Mo.upf
Ta 180.95 Ta.upf
Os 190.23 Os.upf
CELL_PARAMETERS angstrom
-2.537 0.647 -0.907
0.554 -2.668 -0.506
-3.394 -2.208 7.926
ATOMIC_POSITIONS crystal
Mo 0.500 0.500 0.251
Mo 0.000 0.000 0.005
Ta 0.500 0.500 0.747
Os 0.000 0.000 0.498
! Space-group type ... Cmm2 (35)
! ΔH_f (0 K) ... 0.04 eV per atom
! DFT total energy ... -44.59 eV for the cell shown


! Ta2MoOs PBE-GGA optimized geometry; values from VASP
&SYSTEM
  ibrav = 0, nat = 4, ntyp = 3
/
ATOMIC_SPECIES
Ta 180.95 Ta.upf
Mo 95.94 Mo.upf
Os 190.23 Os.upf
CELL_PARAMETERS angstrom
0.000 3.203 3.203
3.203 0.000 3.203
3.203 3.203 0.000
ATOMIC_POSITIONS crystal
Ta 0.750 0.750 0.750
Ta 0.250 0.250 0.250
Mo 0.000 0.000 0.000
Os 0.500 0.500 0.500
! Space-group type ... Fm-3m (225)
! ΔH_f (0 K) ... -0.40 eV per atom
! DFT total energy ... -47.35 eV for the cell shown


! TaMo2Os PBE-GGA optimized geometry; values from VASP
&SYSTEM
  ibrav = 0, nat = 4, ntyp = 3
/
ATOMIC_SPECIES
Mo 95.94 Mo.upf
Os 190.23 Os.upf
Ta 180.95 Ta.upf
CELL_PARAMETERS angstrom
-1.450 -3.917 3.185
3.644 -1.797 3.329
-2.739 4.221 -1.508
ATOMIC_POSITIONS crystal
Mo 0.998 0.998 0.000
Mo 0.755 0.255 0.500
Os 0.499 0.499 0.000
Ta 0.248 0.748 0.500
! Space-group type ... Imm2 (44)
! ΔH_f (0 K) ... -0.05 eV per atom
! DFT total energy ... -44.96 eV for the cell shown


! TaMo2Os PBE-GGA optimized geometry; values from VASP
&SYSTEM
  ibrav = 0, nat = 4, ntyp = 3
/
ATOMIC_SPECIES
Os 190.23 Os.upf
Mo 95.94 Mo.upf
Ta 180.95 Ta.upf
CELL_PARAMETERS angstrom
9.750 0.025 0.015
9.343 2.787 0.015
9.343 1.376 2.423
ATOMIC_POSITIONS crystal
Os 0.503 0.503 0.503
Mo 0.246 0.246 0.246
Ta 0.753 0.753 0.753
Mo 0.998 0.998 0.998
! Space-group type ... R3m (160)
! ΔH_f (0 K) ... 0.22 eV per atom
! DFT total energy ... -43.86 eV for the cell shown